(1)
! Dy2NbGe3 (PBE, relaxed); values from VASP
&SYSTEM
  ibrav = 0, nat = 6, ntyp = 3
/
ATOMIC_SPECIES
Dy 162.50 Dy.upf
Nb 92.91 Nb.upf
Ge 72.64 Ge.upf
CELL_PARAMETERS angstrom
3.870 0.000 0.000
0.000 5.630 0.000
-1.935 -2.815 6.111
ATOMIC_POSITIONS crystal
Dy 0.671 0.171 0.342
Dy 0.329 0.829 0.658
Nb 0.000 0.500 0.000
Ge 0.349 0.349 0.699
Ge 0.000 0.000 0.000
Ge 0.651 0.651 0.301
! Electronic total energy ... -6.07 eV/atom
! E_form ... -546 meV per atom

(2)
! Dy2Nb3Ge4 (PBE, relaxed); values from VASP
&SYSTEM
  ibrav = 0, nat = 36, ntyp = 3
/
ATOMIC_SPECIES
Dy 162.50 Dy.upf
Nb 92.91 Nb.upf
Ge 72.64 Ge.upf
CELL_PARAMETERS angstrom
-4.390 3.417 -4.284
2.800 -3.482 -5.646
-9.192 -9.883 1.537
ATOMIC_POSITIONS crystal
Dy 0.497 0.326 0.095
Dy 0.997 0.174 0.405
Dy 0.503 0.674 0.595
Dy 0.003 0.826 0.905
Dy 0.503 0.674 0.905
Dy 0.003 0.826 0.595
Dy 0.497 0.326 0.405
Dy 0.997 0.174 0.095
Nb 0.665 0.012 0.750
Nb 0.165 0.488 0.750
Nb 0.335 0.988 0.250
Nb 0.835 0.512 0.250
Nb 0.841 0.329 0.627
Nb 0.341 0.171 0.873
Nb 0.159 0.671 0.127
Nb 0.659 0.829 0.373
Nb 0.159 0.671 0.373
Nb 0.659 0.829 0.127
Nb 0.841 0.329 0.873
Nb 0.341 0.171 0.627
Ge 0.806 0.638 0.750
Ge 0.306 0.862 0.750
Ge 0.194 0.362 0.250
Ge 0.694 0.138 0.250
Ge 0.540 0.379 0.750
Ge 0.040 0.121 0.750
Ge 0.460 0.621 0.250
Ge 0.960 0.879 0.250
Ge 0.675 0.039 0.542
Ge 0.175 0.461 0.958
Ge 0.325 0.961 0.042
Ge 0.825 0.539 0.458
Ge 0.325 0.961 0.458
Ge 0.825 0.539 0.042
Ge 0.675 0.039 0.958
Ge 0.175 0.461 0.542
! Electronic total energy ... -7.19 eV/atom
! E_form ... -755 meV per atom
! Energy relative to the lowest polymorph listed for this composition ... 0 meV/atom

(3)
! Dy2Nb3Ge4 (PBE, relaxed); values from VASP
&SYSTEM
  ibrav = 0, nat = 18, ntyp = 3
/
ATOMIC_SPECIES
Dy 162.50 Dy.upf
Nb 92.91 Nb.upf
Ge 72.64 Ge.upf
CELL_PARAMETERS angstrom
7.048 -0.037 0.000
-2.351 6.786 0.000
0.000 0.000 7.182
ATOMIC_POSITIONS crystal
Dy 0.559 0.187 0.329
Dy 0.941 0.813 0.829
Dy 0.441 0.813 0.671
Dy 0.059 0.187 0.171
Nb 0.000 0.500 0.500
Nb 0.500 0.500 0.000
Nb 0.747 0.255 0.825
Nb 0.753 0.745 0.325
Nb 0.253 0.745 0.175
Nb 0.247 0.255 0.675
Ge 0.857 0.085 0.537
Ge 0.643 0.915 0.037
Ge 0.143 0.915 0.463
Ge 0.357 0.085 0.963
Ge 0.866 0.491 0.131
Ge 0.634 0.509 0.631
Ge 0.134 0.509 0.869
Ge 0.366 0.491 0.369
! Electronic total energy ... -7.18 eV/atom
! E_form ... -747 meV per atom
! Energy relative to the lowest polymorph listed for this composition ... 8 meV/atom

(4)
! DyNb3Ge2 (PBE, relaxed); values from VASP
&SYSTEM
  ibrav = 0, nat = 12, ntyp = 3
/
ATOMIC_SPECIES
Dy 162.50 Dy.upf
Nb 92.91 Nb.upf
Ge 72.64 Ge.upf
CELL_PARAMETERS angstrom
-3.482 0.728 0.965
3.618 -2.301 7.749
0.989 8.119 -2.555
ATOMIC_POSITIONS crystal
Dy 0.860 0.720 0.933
Dy 0.140 0.280 0.067
Nb 0.317 0.633 0.553
Nb 0.949 0.899 0.606
Nb 0.590 0.179 0.692
Nb 0.410 0.821 0.308
Nb 0.051 0.101 0.394
Nb 0.683 0.367 0.447
Ge 0.482 0.964 0.845
Ge 0.518 0.036 0.155
Ge 0.791 0.581 0.282
Ge 0.209 0.419 0.718
! Electronic total energy ... -7.74 eV/atom
! E_form ... -397 meV per atom

(5)
! DyNb4Ge2 (PBE, relaxed); values from VASP
&SYSTEM
  ibrav = 0, nat = 7, ntyp = 3
/
ATOMIC_SPECIES
Nb 92.91 Nb.upf
Ge 72.64 Ge.upf
Dy 162.50 Dy.upf
CELL_PARAMETERS angstrom
-2.278 -3.539 -0.608
2.470 -1.163 -2.489
3.204 -3.347 7.485
ATOMIC_POSITIONS crystal
Nb 0.500 0.818 0.637
Nb 0.000 0.676 0.352
Nb 0.500 0.182 0.363
Nb 0.000 0.324 0.648
Ge 0.500 0.572 0.144
Ge 0.500 0.428 0.856
Dy 0.000 0.000 0.000
! Electronic total energy ... -8.11 eV/atom
! E_form ... -376 meV per atom

(6)
! DyNb2Ge2 (PBE, relaxed); values from VASP
&SYSTEM
  ibrav = 0, nat = 5, ntyp = 3
/
ATOMIC_SPECIES
Dy 162.50 Dy.upf
Nb 92.91 Nb.upf
Ge 72.64 Ge.upf
CELL_PARAMETERS angstrom
3.760 0.000 -1.500
-0.598 3.713 -1.500
0.467 0.548 6.634
ATOMIC_POSITIONS crystal
Dy 0.000 0.000 0.000
Nb 0.750 0.250 0.500
Nb 0.250 0.750 0.500
Ge 0.603 0.603 0.205
Ge 0.397 0.397 0.795
! Electronic total energy ... -7.40 eV/atom
! E_form ... -604 meV per atom

(7)
! NdDy2Ge (PBE, relaxed); values from VASP
&SYSTEM
  ibrav = 0, nat = 4, ntyp = 3
/
ATOMIC_SPECIES
Ge 72.64 Ge.upf
Nd 144.24 Nd.upf
Dy 162.50 Dy.upf
CELL_PARAMETERS angstrom
-0.038 -0.325 -3.716
-0.123 -3.379 -1.576
-9.975 -0.906 -1.691
ATOMIC_POSITIONS crystal
Ge 0.000 0.000 0.000
Nd 0.500 0.500 0.500
Dy 0.268 0.268 0.195
Dy 0.732 0.732 0.805
! Electronic total energy ... -4.89 eV/atom
! E_form ... -245 meV per atom
! Energy relative to the lowest polymorph listed for this composition ... 78 meV/atom

(8)
! Nd4Dy3Ge4 (PBE, relaxed); values from VASP
&SYSTEM
  ibrav = 0, nat = 11, ntyp = 3
/
ATOMIC_SPECIES
Nd 144.24 Nd.upf
Dy 162.50 Dy.upf
Ge 72.64 Ge.upf
CELL_PARAMETERS angstrom
3.616 0.000 0.000
0.000 9.000 0.000
-1.808 -4.500 8.931
ATOMIC_POSITIONS crystal
Nd 0.332 0.158 0.664
Nd 0.668 0.494 0.336
Nd 0.668 0.842 0.336
Nd 0.332 0.506 0.664
Dy 0.091 0.091 0.183
Dy 0.909 0.909 0.817
Dy 0.000 0.500 0.000
Ge 0.280 0.780 0.559
Ge 0.720 0.220 0.441
Ge 0.500 0.776 0.000
Ge 0.500 0.224 0.000
! Electronic total energy ... -5.27 eV/atom
! E_form ... -604 meV per atom

- Look up the E_form of the fifth one.
  -376 meV per atom